<a>
Material: Si2MoW
Method: DFT, PBE
State: relaxed

Structure (POSCAR):
```
Si2MoW
1.0
0.0000 3.0529 3.0529
3.0529 0.0000 3.0529
3.0529 3.0529 0.0000
Si Mo W
2 1 1
Direct
0.7500 0.7500 0.7500
0.2500 0.2500 0.2500
0.0000 0.0000 0.0000
0.5000 0.5000 0.5000
```

Output
- Mass density: 9.8 g/cm³
- Crystal system: cubic
- Magnetic moment: 0.000 μB per cell
- N(E_F): 12.9 states/eV/cell
- Calculated volume: 56.9 Å³/cell



<b>
Material: Si2MoW
Method: DFT, PBE
State: relaxed

Structure (POSCAR):
```
Si2MoW
1.0
6.5443 0.0000 0.0000
0.0000 6.5443 0.0000
3.2722 3.2722 2.9741
Si Mo W
4 2 2
Direct
0.8750 0.8736 0.7500
0.3750 0.3764 0.7500
0.6236 0.1250 0.2500
0.1264 0.6250 0.2500
0.5000 0.5000 0.0000
0.2500 0.7500 0.5000
0.7500 0.2500 0.5000
0.0000 0.0000 0.0000
```

Output
- Mass density: 8.8 g/cm³
- Crystal system: tetragonal
- Magnetic moment: 0.000 μB per cell
- N(E_F): 5.6 states/eV/cell
- Calculated volume: 127.4 Å³/cell



Ranked by calculated energy, most stable first: <a>, <b>.



<a>
Material: Si3MoW
Method: DFT, PBE
State: relaxed

Structure (POSCAR):
```
Si3MoW
1.0
-2.4627 3.5850 1.8276
-3.9684 -1.8089 -1.7992
-0.6665 -2.4765 3.9598
Si Mo W
3 1 1
Direct
0.0000 0.5000 0.0000
0.5000 0.0000 0.0000
0.0000 0.0000 0.5000
0.5000 0.5000 0.5000
0.0000 0.0000 0.0000
```

Output
- Mass density: 5.8 g/cm³
- Crystal system: cubic
- Magnetic moment: 4.320 μB per cell
- N(E_F): 2.4 states/eV/cell
- Calculated volume: 105.0 Å³/cell



<b>
Material: Si3MoW
Method: DFT, PBE
State: relaxed

Structure (POSCAR):
```
Si3MoW
1.0
4.6638 0.0000 0.0000
0.0000 4.6638 0.0000
0.0000 0.0000 4.6638
Mo Si W
1 3 1
Direct
0.0000 0.0000 0.0000
0.5000 0.0000 0.0000
0.0000 0.0000 0.5000
0.0000 0.5000 0.0000
0.5000 0.5000 0.5000
```

Output
- Mass density: 6.0 g/cm³
- Crystal system: cubic
- Magnetic moment: 3.992 μB per cell
- N(E_F): 4.7 states/eV/cell
- Calculated volume: 101.4 Å³/cell



Ranked by calculated energy, most stable first: <a>, <b>.



<a>
Material: SiMo2W
Method: DFT, PBE
State: relaxed

Structure (POSCAR):
```
SiMo2W
1.0
2.7740 -0.0019 0.0000
-0.8889 2.6278 0.0000
0.0000 0.0000 8.3718
Mo W Si
2 1 1
Direct
0.0000 0.0000 0.0138
0.0000 0.0000 0.4862
0.5000 0.5000 0.7500
0.5000 0.5000 0.2500
```

Output
- Mass density: 11.0 g/cm³
- Crystal system: orthorhombic
- Magnetic moment: 0.000 μB per cell
- N(E_F): 2.4 states/eV/cell
- Calculated volume: 61.0 Å³/cell



<b>
Material: SiMo2W
Method: DFT, PBE
State: relaxed

Structure (POSCAR):
```
SiMo2W
1.0
-3.0270 -1.3762 3.8546
5.0132 -0.1207 0.8763
0.2677 2.2194 1.6582
Mo W Si
2 1 1
Direct
0.5000 0.5000 0.0000
0.0000 0.0000 0.0000
0.0000 0.5000 0.5000
0.5000 0.0000 0.5000
```

Output
- Mass density: 11.1 g/cm³
- Crystal system: monoclinic
- Magnetic moment: 0.000 μB per cell
- N(E_F): 2.5 states/eV/cell
- Calculated volume: 60.6 Å³/cell



<c>
Material: SiMo2W
Method: DFT, PBE
State: relaxed

Structure (POSCAR):
```
SiMo2W
1.0
5.1260 0.0009 -0.0015
2.3333 4.5641 0.0015
-3.3313 -2.9334 2.5638
Si W Mo
1 1 2
Direct
0.2500 0.7500 0.5000
0.7500 0.2500 0.5000
0.9987 0.9987 0.0000
0.5013 0.5013 0.0000
```

Output
- Mass density: 11.2 g/cm³
- Crystal system: orthorhombic
- Magnetic moment: 0.000 μB per cell
- N(E_F): 2.8 states/eV/cell
- Calculated volume: 60.0 Å³/cell



Ranked by calculated energy, most stable first: <c>, <a>, <b>.